Density functional theory data (PBE) for a geometry-optimized La2MgMo structure.

Cell lengths 6.7447, 6.7447, 6.7447 Å; angles 102.62, 102.62, 124.27 degrees
Positions (direct):
La1 0.0591 0.6250 0.9341
La2 0.3750 0.3091 0.4341
La3 0.6909 0.1250 0.0659
La4 0.8750 0.9409 0.5659
Mg1 0.2500 0.7500 0.5000
Mg2 0.5000 0.5000 0.0000
Mo1 0.0000 0.0000 0.0000
Mo2 0.7500 0.2500 0.5000

The calculation puts the calculated formation energy at 0.525 eV per atom. As for the density of states at the Fermi level: 1.12 states/eV/atom.

---

Density functional theory data (PBE) for a geometry-optimized La2MgMo structure.

Cell lengths 3.5945, 3.5945, 8.5978 Å; angles 90.00, 90.00, 90.00 degrees
Positions (direct):
La1 0.0000 0.0000 0.2085
La2 0.0000 0.0000 0.7915
Mg1 0.5000 0.5000 0.5000
Mo1 0.5000 0.5000 0.0000

The calculation puts the calculated formation energy at 0.248 eV per atom. As for the density of states at the Fermi level: 0.81 states/eV/atom.

---

Density functional theory data (PBE) for a geometry-optimized La2MgMo structure.

Cell lengths 5.1987, 5.1987, 5.1987 Å; angles 60.00, 60.00, 60.00 degrees
Positions (direct):
La1 0.0000 0.0000 0.0000
La2 0.2500 0.2500 0.2500
Mg1 0.7500 0.7500 0.7500
Mo1 0.5000 0.5000 0.5000

The calculation puts the calculated formation energy at 0.443 eV per atom. As for the density of states at the Fermi level: 1.58 states/eV/atom.

---

Density functional theory data (PBE) for a geometry-optimized LaMgMo structure.

Cell lengths 8.0017, 8.0017, 8.0017 Å; angles 158.70, 158.70, 30.31 degrees
Positions (direct):
La1 0.0000 0.0000 0.0000
Mg1 0.6970 0.6970 0.0000
Mo1 0.3334 0.3334 0.0000

The energy above the most stable polymorph in this dataset is 0.0000 eV per atom. The calculation puts the calculated formation energy at 0.461 eV per atom. As for the density of states at the Fermi level: 0.97 states/eV/atom.

---

Density functional theory data (PBE) for a geometry-optimized La2Mg2Mo structure.

Cell lengths 8.4469, 8.4469, 8.4469 Å; angles 151.65, 151.65, 40.53 degrees
Positions (direct):
La1 0.2500 0.7500 0.5000
La2 0.7500 0.2500 0.5000
Mg1 0.0834 0.0834 0.0000
Mg2 0.9166 0.9166 0.0000
Mo1 0.5000 0.5000 0.0000

The energy above the most stable polymorph in this dataset is 0.2288 eV per atom. The calculation puts the calculated formation energy at 0.924 eV per atom. As for the density of states at the Fermi level: 1.05 states/eV/atom.

---

Density functional theory data (PBE) for a geometry-optimized La2MgMo structure.

Cell lengths 3.5808, 4.9862, 6.0657 Å; angles 90.00, 102.91, 90.00 degrees
Positions (direct):
La1 0.0000 0.0000 0.0000
La2 0.2388 0.5000 0.6011
Mg1 0.5690 0.5000 0.1734
Mo1 0.4664 0.0000 0.4457

The calculation puts the calculated formation energy at 0.376 eV per atom. As for the density of states at the Fermi level: 0.84 states/eV/atom.

---

Density functional theory data (PBE) for a geometry-optimized La2MgMo structure.

Cell lengths 6.3675, 6.3675, 6.3675 Å; angles 146.95, 129.72, 61.50 degrees
Positions (direct):
La1 0.0000 0.0000 0.0000
La2 0.7008 0.2008 0.5000
Mg1 0.2972 0.7972 0.5000
Mo1 0.4995 0.4995 0.0000

The calculation puts the calculated formation energy at 0.334 eV per atom. As for the density of states at the Fermi level: 1.20 states/eV/atom.

---

Density functional theory data (PBE) for a geometry-optimized La2MgMo structure.

Cell lengths 3.7898, 3.7898, 7.5928 Å; angles 90.00, 90.00, 90.00 degrees
Positions (direct):
La1 0.0000 0.0000 0.0000
La2 0.5000 0.5000 0.3821
Mg1 0.0000 0.0000 0.6075
Mo1 0.5000 0.5000 0.7374

The calculation puts the calculated formation energy at 0.360 eV per atom. As for the density of states at the Fermi level: 0.72 states/eV/atom.

---

Density functional theory data (PBE) for a geometry-optimized La2MgMo structure.

Cell lengths 10.3987, 10.3987, 10.3987 Å; angles 19.82, 19.82, 19.82 degrees
Positions (direct):
La1 0.2367 0.2367 0.2367
La2 0.7633 0.7633 0.7633
Mg1 0.0000 0.0000 0.0000
Mo1 0.5000 0.5000 0.5000

The calculation puts the calculated formation energy at 0.414 eV per atom. As for the density of states at the Fermi level: 0.95 states/eV/atom.

---

Density functional theory data (PBE) for a geometry-optimized LaMgMo structure.

Cell lengths 7.9632, 7.7479, 3.1263 Å; angles 82.42, 74.68, 22.90 degrees
Positions (direct):
La1 0.0000 0.0000 0.0000
Mg1 0.7086 0.7086 0.2914
Mo1 0.3530 0.3530 0.6470

The energy above the most stable polymorph in this dataset is 0.0171 eV per atom. The calculation puts the calculated formation energy at 0.478 eV per atom. As for the density of states at the Fermi level: 1.25 states/eV/atom.

---

Density functional theory data (PBE) for a geometry-optimized LaMg2MoN4 structure.

Cell lengths 6.3387, 6.3387, 10.8013 Å; angles 90.00, 90.00, 149.47 degrees
Positions (direct):
La1 0.0639 0.9361 0.7500
La2 0.9361 0.0639 0.2500
Mg1 0.3926 0.6074 0.5323
Mg2 0.3926 0.6074 0.9677
Mg3 0.6074 0.3926 0.0323
Mg4 0.6074 0.3926 0.4677
Mo1 0.1975 0.8025 0.2500
Mo2 0.8025 0.1975 0.7500
N1 0.0000 0.0000 0.0000
N2 0.0000 0.0000 0.5000
N3 0.2880 0.7120 0.1190
N4 0.2880 0.7120 0.3810
N5 0.4062 0.5938 0.7500
N6 0.5938 0.4062 0.2500
N7 0.7120 0.2880 0.6190
N8 0.7120 0.2880 0.8810

As for the density of states at the Fermi level: 0.24 states/eV/atom. The calculation puts the formation energy from raw total energies at -5.8 eV/f.u.

---

Density functional theory data (PBE) for a geometry-optimized LaMgMo2Os structure.

Cell lengths 4.8621, 4.8621, 4.9506 Å; angles 90.00, 90.00, 90.00 degrees
Positions (direct):
La1 0.0000 0.0000 0.0000
Mg1 0.5000 0.5000 0.0000
Mo1 0.0000 0.5000 0.5000
Mo2 0.5000 0.0000 0.5000
Os1 0.5000 0.5000 0.5000

The energy above the most stable polymorph in this dataset is 0.0000 eV per atom. The calculation puts the calculated formation energy at 0.749 eV per atom. As for the density of states at the Fermi level: 1.07 states/eV/atom.